Record 1
An optimized crystal structure of Pm3As2Cl, computed with PBE-GGA. Values from VASP.

```
&SYSTEM
  ibrav = 0, nat = 12, ntyp = 3
/
ATOMIC_SPECIES
Pm 145.00 Pm.upf
As 74.92 As.upf
Cl 35.45 Cl.upf
CELL_PARAMETERS angstrom
2.138 -6.910 0.000
2.138 6.910 0.000
0.000 0.000 10.829
ATOMIC_POSITIONS angstrom
Pm 2.138 5.524 8.122
Pm 2.138 2.057 6.028
Pm 2.138 2.057 10.216
Pm 2.138 -2.057 0.613
Pm 2.138 -2.057 4.802
Pm 2.138 -5.524 2.707
As 0.000 0.000 0.000
As 0.000 0.000 5.415
As 2.138 3.439 2.707
As 2.138 -3.439 8.122
Cl 2.138 0.365 8.122
Cl 2.138 -0.365 2.707
```

## Properties
energy relative to the elements, uncorrected	-1.3186	eV/atom

=====

Record 2
An optimized crystal structure of PmAsCl, computed with PBE-GGA. Values from VASP.

```
&SYSTEM
  ibrav = 0, nat = 3, ntyp = 3
/
ATOMIC_SPECIES
Pm 145.00 Pm.upf
As 74.92 As.upf
Cl 35.45 Cl.upf
CELL_PARAMETERS angstrom
4.813 0.000 0.000
-2.407 4.168 0.000
0.000 0.000 3.595
ATOMIC_POSITIONS angstrom
Pm 0.000 0.000 0.000
As 2.407 1.389 1.798
Cl 0.000 2.779 0.000
```

## Properties
energy relative to the elements, uncorrected	-1.1096	eV/atom

=====

Record 3
An optimized crystal structure of PmPrAsCl, computed with PBE-GGA. Values from VASP.

```
&SYSTEM
  ibrav = 0, nat = 4, ntyp = 4
/
ATOMIC_SPECIES
Pm 145.00 Pm.upf
Pr 140.91 Pr.upf
As 74.92 As.upf
Cl 35.45 Cl.upf
CELL_PARAMETERS angstrom
0.000 3.635 3.635
3.635 0.000 3.635
3.635 3.635 0.000
ATOMIC_POSITIONS angstrom
Pm 0.000 0.000 0.000
Pr 3.635 3.635 3.635
As 1.817 1.817 1.817
Cl 5.452 5.452 5.452
```

## Properties
energy relative to the elements, uncorrected	-1.3459	eV/atom

=====

Record 4
An optimized crystal structure of Pm4As2SCl, computed with PBE-GGA. Values from VASP.

```
&SYSTEM
  ibrav = 0, nat = 8, ntyp = 4
/
ATOMIC_SPECIES
Pm 145.00 Pm.upf
As 74.92 As.upf
S 32.06 S.upf
Cl 35.45 Cl.upf
CELL_PARAMETERS angstrom
7.145 0.000 0.000
0.000 4.167 0.000
-2.426 0.000 6.858
ATOMIC_POSITIONS angstrom
Pm 1.127 0.000 1.596
Pm -0.096 2.084 5.219
Pm 4.814 2.084 1.639
Pm 3.592 0.000 5.262
As -1.213 0.000 3.429
As 0.000 2.084 0.000
S 3.572 0.000 0.000
Cl 2.359 2.084 3.429
```

## Properties
energy relative to the elements, uncorrected	-1.6672	eV/atom